Compound: Co2AgW
Source: Alexandria
Functional: PBE
Structure: relaxed

Cell lengths 4.868, 4.868, 4.521 Å; angles 105.57, 105.57, 31.93 degrees
Positions (direct):
Co  0.000  0.000  0.000
Co  0.706  0.706  0.288
Ag  0.241  0.241  0.808
W  0.461  0.461  0.466

Calculated volume in Å³ per atom: 13.60
Theoretical density in g/cm³: 12.50
E_form in kJ/mol of atoms: 38
Total magnetization in μB per atom: 0.406
Space group: Cm, No. 8
DOS at the Fermi energy in states/eV/cell: 4.34
Energy above the most stable polymorph in this dataset in eV/f.u.: 0.51